Computed, not measured: crystalline Ba2Li3Mg12Tl at its relaxed geometry at the PBE-GGA level of DFT.

Properties
Formation energy from the elements = 5.5 eV per formula unit
Total energy = -1.42 eV/atom
Symmetry = R-3m, No. 166
Density = 2.3 g/cm³
Total magnetization = 0.000 μB/f.u.

abc: 9.0806 9.0806 9.0806
angles: 62.90 62.90 62.90
With the nearest neighbours (Å) after each atom.
Element x y z (fractional)
Ba (0.5999, 0.5999, 0.5999)  6 Mg 3.58-3.64
Ba (0.4001, 0.4001, 0.4001)  6 Mg 3.58-3.64
Li (0.5000, 0.0000, 0.0000)  6 Mg 2.59-2.64
Li (0.0000, 0.5000, 0.0000)  6 Mg 2.59-2.64
Li (0.0000, 0.0000, 0.5000)  6 Mg 2.59-2.64
Mg (0.3294, 0.3294, 0.9061)  2 Li 2.59
Mg (0.8770, 0.8770, 0.3814)  1 Li 2.64, 1 Tl 2.93
Mg (0.3814, 0.8770, 0.8770)  1 Li 2.64, 1 Tl 2.93
Mg (0.9061, 0.3294, 0.3294)  2 Li 2.59
Mg (0.8770, 0.3814, 0.8770)  1 Li 2.64, 1 Tl 2.93
Mg (0.3294, 0.9061, 0.3294)  2 Li 2.59
Mg (0.6706, 0.6706, 0.0939)  2 Li 2.59
Mg (0.1230, 0.1230, 0.6186)  1 Li 2.64, 1 Tl 2.93
Mg (0.6186, 0.1230, 0.1230)  1 Li 2.64, 1 Tl 2.93
Mg (0.0939, 0.6706, 0.6706)  2 Li 2.59
Mg (0.1230, 0.6186, 0.1230)  1 Li 2.64, 1 Tl 2.93
Mg (0.6706, 0.0939, 0.6706)  2 Li 2.59
Tl (0.0000, 0.0000, 0.0000)  6 Mg 2.93